Version A
BaAlAgMo2 after structural relaxation, computed with PBE.

```
BaAlAgMo2
1.0
5.2415 0.0000 0.0000
0.0000 5.8024 0.0000
0.0000 0.0000 5.2415
Ba Al Mo Ag
1 1 2 1
direct
0.0000 0.5000 0.0000
0.5000 0.5000 0.5000
0.0000 0.0000 0.5000
0.5000 0.0000 0.0000
0.0000 0.0000 0.0000
```

* density: 4.834 g/cm³
* symmetry: No. 123

Version B
BaAlAgMo2 after structural relaxation, computed with PBE.

```
BaAlAgMo2
1.0
-4.7899 -1.7123 -0.7062
1.4455 -2.0077 -4.9366
1.2740 -4.4671 2.1898
Al Ag Mo Ba
1 1 2 1
direct
0.0000 0.5000 0.0000
0.5000 0.5000 0.5000
0.5000 0.0000 0.0000
0.0000 0.0000 0.5000
0.0000 0.0000 0.0000
```

* density: 5.291 g/cm³
* symmetry: No. 123

Version C
BaAlAgMo2 after structural relaxation, computed with PBE.

```
BaAlAgMo2
1.0
4.8280 0.0000 0.0000
0.0000 5.9457 0.0000
0.0000 0.0000 4.8280
Mo Ba Al Ag
2 1 1 1
direct
0.5000 0.0000 0.0000
0.0000 0.0000 0.5000
0.0000 0.5000 0.0000
0.0000 0.0000 0.0000
0.5000 0.5000 0.5000
```

* density: 5.560 g/cm³
* symmetry: No. 123

Tell me which of them is the most stable. Sure, it is version C.